[1]
DFT (SCAN) results for a PBEsol-optimized structure of Li2HfIn2.

Geometry as POSCAR:
```
Li2HfIn2
1.0
-1.9171 1.9171 6.6958
1.9171 -1.9171 6.6958
1.9171 1.9171 -6.6958
Li Hf In
2 1 2
direct
0.2500 0.7500 0.5000
0.7500 0.2500 0.5000
0.0000 0.0000 0.0000
0.3956 0.3956 0.0000
0.6044 0.6044 0.0000
```

Calculated values
Calculated density (g cm⁻³): 7.12
Formation energy (meV/atom): -122
Space group: No. 139



[2]
DFT (SCAN) results for a PBEsol-optimized structure of LiHfIn2Pt.

Geometry as POSCAR:
```
LiHfIn2Pt
1.0
4.5722 0.0000 0.0000
0.0000 4.5722 0.0000
0.0000 0.0000 4.3147
Li Hf In Pt
1 1 2 1
direct
0.0000 0.0000 0.0000
0.5000 0.5000 0.5000
0.0000 0.5000 0.0000
0.5000 0.0000 0.0000
0.0000 0.0000 0.5000
```

Calculated values
Calculated density (g cm⁻³): 11.23
Formation energy (meV/atom): 56
Space group: No. 123



[3]
DFT (SCAN) results for a PBEsol-optimized structure of LiHfInSi2.

Geometry as POSCAR:
```
LiHfInSi2
1.0
4.2974 0.0000 0.0000
0.0000 4.2974 0.0000
0.0000 0.0000 4.7332
Li Hf In Si
1 1 1 2
direct
0.0000 0.0000 0.0000
0.0000 0.0000 0.5000
0.5000 0.5000 0.5000
0.0000 0.5000 0.0000
0.5000 0.0000 0.0000
```

Calculated values
Calculated density (g cm⁻³): 6.77
Space group: No. 123
Energy relative to the elements, uncorrected (eV/f.u.): 2.983



[4]
DFT (SCAN) results for a PBEsol-optimized structure of HfMgNbIn2.

Geometry as POSCAR:
```
HfMgNbIn2
1.0
5.1600 0.0000 0.0000
0.0000 5.1600 0.0000
0.0000 0.0000 5.0078
Hf Mg Nb In
1 1 1 2
direct
0.0000 0.0000 0.0000
0.5000 0.5000 0.0000
0.5000 0.5000 0.5000
0.0000 0.5000 0.5000
0.5000 0.0000 0.5000
```

Calculated values
Calculated density (g cm⁻³): 6.54
Formation energy (meV/atom): 1084
Space group: No. 123



[5]
DFT (SCAN) results for a PBEsol-optimized structure of HfMgInNi2.

Geometry as POSCAR:
```
HfMgInNi2
1.0
4.5689 0.0000 0.0000
0.0000 4.5689 0.0000
0.0000 0.0000 5.3787
Hf Mg In Ni
1 1 1 2
direct
0.0000 0.0000 0.0000
0.5000 0.5000 0.5000
0.0000 0.0000 0.5000
0.0000 0.5000 0.0000
0.5000 0.0000 0.0000
```

Calculated values
Calculated density (g cm⁻³): 6.43
Formation energy (meV/atom): 913
Space group: No. 123



[6]
DFT (SCAN) results for a PBEsol-optimized structure of HfMgZnIn2.

Geometry as POSCAR:
```
HfMgZnIn2
1.0
4.9783 0.0000 0.0000
0.0000 4.9783 0.0000
0.0000 0.0000 4.7395
Hf Mg Zn In
1 1 1 2
direct
0.0000 0.0000 0.0000
0.5000 0.5000 0.0000
0.5000 0.5000 0.5000
0.0000 0.5000 0.5000
0.5000 0.0000 0.5000
```

Calculated values
Calculated density (g cm⁻³): 7.04
Formation energy (meV/atom): 570
Space group: No. 123



[7]
DFT (SCAN) results for a PBEsol-optimized structure of HfMn2InNi.

Geometry as POSCAR:
```
HfMn2InNi
1.0
4.4996 0.0000 0.0000
0.0000 4.4996 0.0000
0.0000 0.0000 4.5938
Hf Mn In Ni
1 2 1 1
direct
0.0000 0.0000 0.0000
0.0000 0.5000 0.5000
0.5000 0.0000 0.5000
0.5000 0.5000 0.0000
0.0000 0.0000 0.5000
```

Calculated values
Calculated density (g cm⁻³): 8.25
Formation energy (meV/atom): 135
Space group: No. 123



[8]
DFT (SCAN) results for a PBEsol-optimized structure of HfMn2InSb.

Geometry as POSCAR:
```
HfMn2InSb
1.0
4.7573 0.0000 0.0000
0.0000 4.7573 0.0000
0.0000 0.0000 5.3792
Hf Mn In Sb
1 2 1 1
direct
0.0000 0.0000 0.0000
0.0000 0.5000 0.5000
0.5000 0.0000 0.5000
0.5000 0.5000 0.5000
0.5000 0.5000 0.0000
```

Calculated values
Calculated density (g cm⁻³): 7.16
Space group: No. 123
Energy relative to the elements, uncorrected (eV/f.u.): 5.199



So what do the calculations give for N(E_F)? Going down the list: 0.53, 0.42, 0.28, 0.57, 0.75, 0.62, 0.75, 0.85 states/eV per atom.